Material: BaFe2Hg
Method: DFT, PBE
State: optimized geometry

Lattice parameters (Å, degrees): 3.313 3.313 7.913 90.00 90.00 90.00
Fractional coordinates of all 4 atoms:
Fe: 0.000 0.000 0.091
Hg: 0.000 0.000 0.435
Ba: 0.500 0.500 0.774
Fe: 0.500 0.500 0.201

## Properties
The formation energy from the elements comes out at 0.368 eV/atom. For the theoretical density, the calculation gives 8.596 g/cm³. For the volume, the calculation gives 21.7 Å³ per atom. Its energy above the lowest structure with this stoichiometry is 41 meV per atom.



Material: BaFe2Hg
Method: DFT, PBE
State: optimized geometry

Lattice parameters (Å, degrees): 3.593 5.270 7.089 43.24 90.00 90.00
Fractional coordinates of all 4 atoms:
Ba: 0.000 0.000 0.500
Hg: 0.500 0.500 0.500
Fe: 0.000 0.000 0.000
Fe: 0.500 0.500 0.000

## Properties
The formation energy from the elements comes out at 0.874 eV/atom. For the theoretical density, the calculation gives 8.120 g/cm³. For the volume, the calculation gives 23.0 Å³ per atom. Its energy above the lowest structure with this stoichiometry is 548 meV per atom.



Material: BaFeHg2
Method: DFT, PBE
State: optimized geometry

Lattice parameters (Å, degrees): 3.812 3.813 7.606 90.00 90.00 90.00
Fractional coordinates of all 4 atoms:
Ba: 0.000 0.000 0.505
Hg: 0.000 0.000 0.937
Hg: 0.500 0.500 0.206
Fe: 0.500 0.500 0.852

## Properties
The formation energy from the elements comes out at 0.221 eV/atom. For the theoretical density, the calculation gives 8.927 g/cm³. For the volume, the calculation gives 27.6 Å³ per atom.



Material: BaFe3Hg
Method: DFT, PBE
State: optimized geometry

Lattice parameters (Å, degrees): 5.064 5.064 5.064 90.00 90.00 90.00
Fractional coordinates of all 5 atoms:
Ba: 0.500 0.500 0.500
Fe: 0.000 0.500 0.000
Fe: 0.500 0.000 0.000
Fe: 0.000 0.000 0.500
Hg: 0.000 0.000 0.000

## Properties
The formation energy from the elements comes out at 1.070 eV/atom. For the theoretical density, the calculation gives 6.462 g/cm³. For the volume, the calculation gives 26.0 Å³ per atom. Its energy above the lowest structure with this stoichiometry is 0 meV per atom.



Material: BaFeHg2
Method: DFT, PBE
State: optimized geometry

Lattice parameters (Å, degrees): 4.685 4.685 6.602 69.27 69.27 59.96
Fractional coordinates of all 4 atoms:
Ba: 0.750 0.750 0.750
Fe: 0.250 0.250 0.250
Hg: 0.956 0.956 0.130
Hg: 0.544 0.544 0.370

## Properties
The formation energy from the elements comes out at 0.069 eV/atom. For the theoretical density, the calculation gives 8.622 g/cm³. For the volume, the calculation gives 28.6 Å³ per atom.



Material: BaFeHg2
Method: DFT, PBE
State: optimized geometry

Lattice parameters (Å, degrees): 4.966 5.339 4.694 89.94 90.00 90.00
Fractional coordinates of all 4 atoms:
Ba: 0.000 0.482 0.500
Hg: 0.000 0.955 0.000
Fe: 0.500 0.780 0.999
Hg: 0.500 0.283 0.001

## Properties
The formation energy from the elements comes out at 0.161 eV/atom. For the theoretical density, the calculation gives 7.930 g/cm³. For the volume, the calculation gives 31.1 Å³ per atom.



Material: BaFeHg2
Method: DFT, PBE
State: optimized geometry

Lattice parameters (Å, degrees): 4.461 3.996 6.615 73.74 90.00 90.00
Fractional coordinates of all 4 atoms:
Fe: 0.500 0.750 0.750
Hg: 0.000 0.911 0.940
Ba: 0.500 0.250 0.250
Hg: 0.000 0.589 0.560

## Properties
The formation energy from the elements comes out at 0.179 eV/atom. For the theoretical density, the calculation gives 8.718 g/cm³. For the volume, the calculation gives 28.3 Å³ per atom.



Material: BaFe2Hg
Method: DFT, PBE
State: optimized geometry

Lattice parameters (Å, degrees): 5.123 5.123 5.123 60.00 60.00 60.00
Fractional coordinates of all 4 atoms:
Hg: 0.750 0.750 0.750
Ba: 0.500 0.500 0.500
Fe: 0.250 0.250 0.250
Fe: 0.000 0.000 0.000

## Properties
The formation energy from the elements comes out at 0.755 eV/atom. For the theoretical density, the calculation gives 7.853 g/cm³. For the volume, the calculation gives 23.8 Å³ per atom. Its energy above the lowest structure with this stoichiometry is 429 meV per atom.



Material: BaFe2Hg
Method: DFT, PBE
State: optimized geometry

Lattice parameters (Å, degrees): 5.313 5.313 5.313 124.68 110.66 94.49
Fractional coordinates of all 4 atoms:
Hg: 0.750 0.250 0.500
Fe: 0.902 0.902 0.000
Ba: 0.250 0.750 0.500
Fe: 0.598 0.598 0.000

## Properties
The formation energy from the elements comes out at 0.619 eV/atom. For the theoretical density, the calculation gives 6.940 g/cm³. For the volume, the calculation gives 26.9 Å³ per atom. Its energy above the lowest structure with this stoichiometry is 293 meV per atom.



Material: BaFe2Hg
Method: DFT, PBE
State: optimized geometry

Lattice parameters (Å, degrees): 4.772 3.421 6.298 81.89 90.00 90.00
Fractional coordinates of all 4 atoms:
Fe: 0.000 0.036 0.118
Ba: 0.500 0.750 0.750
Hg: 0.500 0.250 0.250
Fe: 0.000 0.464 0.382

## Properties
The formation energy from the elements comes out at 0.553 eV/atom. For the theoretical density, the calculation gives 7.336 g/cm³. For the volume, the calculation gives 25.4 Å³ per atom. Its energy above the lowest structure with this stoichiometry is 227 meV per atom.



Material: BaFeHg2
Method: DFT, PBE
State: optimized geometry

Lattice parameters (Å, degrees): 5.371 5.371 5.371 60.00 60.00 60.00
Fractional coordinates of all 4 atoms:
Ba: 0.500 0.500 0.500
Hg: 0.000 0.000 0.000
Fe: 0.250 0.250 0.250
Hg: 0.750 0.750 0.750

## Properties
The formation energy from the elements comes out at 0.346 eV/atom. For the theoretical density, the calculation gives 9.010 g/cm³. For the volume, the calculation gives 27.4 Å³ per atom.



Material: BaFe2Hg
Method: DFT, PBE
State: optimized geometry

Lattice parameters (Å, degrees): 5.819 5.819 3.297 75.13 75.13 114.41
Fractional coordinates of all 4 atoms:
Fe: 0.000 0.000 0.000
Hg: 0.500 0.000 0.500
Fe: 0.500 0.500 0.000
Ba: 0.000 0.500 0.500

## Properties
The formation energy from the elements comes out at 0.923 eV/atom. For the theoretical density, the calculation gives 8.338 g/cm³. For the volume, the calculation gives 22.4 Å³ per atom. Its energy above the lowest structure with this stoichiometry is 597 meV per atom.